Below is a relaxed Ta6NiMo5 crystal, with properties calculated at the PBE level.

Summary:
D(E_F) in states/eV/f.u.: 8.3
Total moment in μB per cell: 0.00
Uncorrected energy in hartree per atom: -0.40796
Calculated formation energy in eV/atom: -0.1800

abc: 14.374 6.415 4.550
angles: 90.00 108.34 90.00
Space group C2/m (No. 12)
Unique sites:
Ta  0.000  0.247  0.000
Ta  0.167  0.249  0.667
Ni  0.000  0.500  0.500
Mo  0.000  0.000  0.500
Mo  0.163  0.500  0.163
Mo  0.167  0.000  0.167